A relaxed BaNa2AlS crystal, computed with PBE.

Cell lengths 5.289, 5.289, 5.842 Å; angles 90.00, 90.00, 90.00 degrees
Sites, in units of the cell vectors:
Ba  0.000  0.000  0.000
Na  0.000  0.500  0.500
Na  0.500  0.000  0.500
Al  0.500  0.500  0.000
S  0.500  0.500  0.500

**Mass density**: 2.46 Mg/m³
**Fermi-level density of states**: 3.68 states/eV/f.u.
**Volume**: 32.69 Å³/atom
**ΔE_f (raw)**: -0.183 eV per atom
**Crystal system**: tetragonal